# Ca2LaGe4 | Alexandria via LeMat-Bulk | PBE | relaxed
# Final energy in eV per atom: -4.5737
# Crystal system: orthorhombic
data_Ca2LaGe4
_space_group_name_H-M_alt 'I m m m'
_space_group_IT_number 71
_space_group_name_Hall '-I 2 2'
_cell_length_a 4.087
_cell_length_b 4.500
_cell_length_c 18.684
_cell_angle_alpha 90.00
_cell_angle_beta 90.00
_cell_angle_gamma 90.00
loop_
_atom_site_label
_atom_site_fract_x
_atom_site_fract_y
_atom_site_fract_z
Ca1 0.000 0.000 0.183
La1 0.000 0.500 0.500
Ge1 0.000 0.000 0.348
Ge2 0.000 0.500 0.069